Ti2MnAl5Pt2, optimized geometry, DFT GGA-PBE; E_tot = -61.50 eV per formula unit; ΔH_f (0 K) = -575 meV/atom; spin magnetization = 3.21 μB per formula unit
1.0
3.968 0.000 0.000
0.000 8.991 0.000
0.000 0.000 8.991
Ti Mn Al Pt
4 2 10 4
direct
0.000 0.677 0.177
0.000 0.323 0.823
0.000 0.177 0.323
0.000 0.823 0.677
0.000 0.000 0.000
0.000 0.500 0.500
0.500 0.201 0.061
0.500 0.799 0.939
0.500 0.061 0.799
0.500 0.701 0.439
0.500 0.939 0.201
0.500 0.299 0.561
0.500 0.561 0.701
0.500 0.439 0.299
0.500 0.500 0.000
0.500 0.000 0.500
0.000 0.123 0.623
0.000 0.877 0.377
0.000 0.623 0.877
0.000 0.377 0.123